The following is a PBE calculation of TbErMg after structural relaxation, from Alexandria via LeMat-Bulk.

Structure (extended XYZ):
```
3
Lattice="3.636 0.000 0.000 0.000 3.636 0.000 -1.818 -1.818 6.502" Properties=species:S:1:pos:R:3 pbc="T T T"
Mg 1.818 1.818 2.184
Tb 0.000 0.000 0.078
Er 0.000 0.000 4.240
```

Results
Calculated formation energy: -0.04 eV per atom
Final energy: -10.90 eV for the cell shown
ΔE to the lowest computed polymorph: 0 meV per atom
M_tot: 0.40 μB/f.u.
Density: 6773 kg/m3